The following is a GGA-PBE calculation of a relaxed Dy4Hg7Pb crystal, from the Alexandria database.

The structure belongs to space group C2/m (No. 12); the cell edges are 12.778, 5.542 and 11.006 Å and the angles 90.00°, 122.35° and 90.00°. The asymmetric unit holds Dy at (0.084, 0.000, 0.276), Dy at (0.240, 0.000, 0.827), Hg at (0.000, 0.000, 0.500), Hg at (0.069, 0.500, 0.844), Hg at (0.140, 0.000, 0.037), Hg at (0.204, 0.500, 0.411) and Pb at (0.000, 0.500, 0.500).

The calculated total energy comes out at -2.255 eV per atom. The magnetization comes out at 0.000 μB per atom. The calculated formation energy comes out at -23 kJ/mol of atoms. The calculation puts the density at 11.4 Mg/m³. Its crystal system is monoclinic.